Entry 1:
This record from Alexandria describes an optimized crystal structure of Y7Cd. The functional is PBEsol.

Structure (CIF):
```
data_Y7Cd
_chemical_formula_sum 'Y7 Cd1'
_symmetry_space_group_name_H-M 'P 1'
_symmetry_Int_Tables_number 1
_symmetry_space_group_name_Hall 'P 1'
_cell_length_a 6.899
_cell_length_b 6.899
_cell_length_c 6.899
_cell_angle_alpha 60.00
_cell_angle_beta 60.00
_cell_angle_gamma 60.00
loop_
_atom_site_label
_atom_site_type_symbol
_atom_site_fract_x
_atom_site_fract_y
_atom_site_fract_z
Y1 Y 0.000 0.000 0.500
Y2 Y 0.500 0.000 0.500
Y3 Y 0.000 0.500 0.500
Cd1 Cd 0.000 0.000 0.000
Y4 Y 0.500 0.000 0.000
Y5 Y 0.500 0.500 0.000
Y6 Y 0.000 0.500 0.000
Y7 Y 0.500 0.500 0.500
```

The value obtained for the energy of formation is -0.022 eV per atom. Its density of states at the Fermi level is 1.1395 states/eV/atom. The space-group type is No. 225.


Entry 2:
This record from Alexandria describes an optimized crystal structure of MnFe2Hg. The functional is PBEsol.

Structure (CIF):
```
data_MnFe2Hg
_chemical_formula_sum 'Mn1 Fe2 Hg1'
_symmetry_space_group_name_H-M 'P 1'
_symmetry_Int_Tables_number 1
_symmetry_space_group_name_Hall 'P 1'
_cell_length_a 4.265
_cell_length_b 4.265
_cell_length_c 4.265
_cell_angle_alpha 60.00
_cell_angle_beta 60.00
_cell_angle_gamma 60.00
loop_
_atom_site_label
_atom_site_type_symbol
_atom_site_fract_x
_atom_site_fract_y
_atom_site_fract_z
Fe1 Fe 0.000 0.000 0.000
Fe2 Fe 0.750 0.750 0.750
Hg1 Hg 0.500 0.500 0.500
Mn1 Mn 0.250 0.250 0.250
```

The value obtained for the energy of formation is 0.427 eV per atom. Its density of states at the Fermi level is 0.8912 states/eV/atom. The space-group type is No. 216.


Entry 3:
This record from Alexandria describes an optimized crystal structure of YCrCo2. The functional is PBEsol.

Structure (CIF):
```
data_YCrCo2
_chemical_formula_sum 'Y1 Cr1 Co2'
_symmetry_space_group_name_H-M 'P 1'
_symmetry_Int_Tables_number 1
_symmetry_space_group_name_Hall 'P 1'
_cell_length_a 3.899
_cell_length_b 3.899
_cell_length_c 5.393
_cell_angle_alpha 68.81
_cell_angle_beta 68.81
_cell_angle_gamma 60.00
loop_
_atom_site_label
_atom_site_type_symbol
_atom_site_fract_x
_atom_site_fract_y
_atom_site_fract_z
Co1 Co 0.054 0.054 0.839
Co2 Co 0.762 0.762 0.714
Y1 Y 0.248 0.248 0.257
Cr1 Cr 0.437 0.437 0.690
```

The value obtained for the energy of formation is 0.163 eV per atom. Its density of states at the Fermi level is 1.1561 states/eV/atom. The space-group type is No. 160. The value obtained for the energy above the most stable polymorph in this dataset is 0.00 kcal/mol of atoms.


Entry 4:
This record from Alexandria describes an optimized crystal structure of CrMoSe2. The functional is PBEsol.

Structure (CIF):
```
data_CrMoSe2
_chemical_formula_sum 'Cr1 Mo1 Se2'
_symmetry_space_group_name_H-M 'P 1'
_symmetry_Int_Tables_number 1
_symmetry_space_group_name_Hall 'P 1'
_cell_length_a 3.329
_cell_length_b 3.348
_cell_length_c 6.254
_cell_angle_alpha 105.52
_cell_angle_beta 105.43
_cell_angle_gamma 90.00
loop_
_atom_site_label
_atom_site_type_symbol
_atom_site_fract_x
_atom_site_fract_y
_atom_site_fract_z
Mo1 Mo 0.798 0.298 0.596
Se1 Se 0.206 0.706 0.412
Se2 Se 0.964 0.964 0.929
Cr1 Cr 0.532 0.532 0.063
```

Its density of states at the Fermi level is 0.7203 states/eV/atom. The space-group type is No. 44. The value obtained for the formation energy without anion corrections is -0.08 eV per atom. The value obtained for the energy above the most stable polymorph in this dataset is 0.00 kcal/mol of atoms.


Entry 5:
This record from Alexandria describes an optimized crystal structure of Rb2AsPt. The functional is PBEsol.

Structure (CIF):
```
data_Rb2AsPt
_chemical_formula_sum 'Rb4 As2 Pt2'
_symmetry_space_group_name_H-M 'P 1'
_symmetry_Int_Tables_number 1
_symmetry_space_group_name_Hall 'P 1'
_cell_length_a 4.645
_cell_length_b 9.507
_cell_length_c 9.507
_cell_angle_alpha 86.58
_cell_angle_beta 75.86
_cell_angle_gamma 75.86
loop_
_atom_site_label
_atom_site_type_symbol
_atom_site_fract_x
_atom_site_fract_y
_atom_site_fract_z
Rb1 Rb 0.875 0.212 0.288
As1 As 0.250 0.500 0.500
Rb2 Rb 0.837 0.288 0.788
As2 As 0.500 0.000 0.000
Pt1 Pt 0.750 0.500 0.500
Rb3 Rb 0.375 0.788 0.712
Rb4 Rb 0.913 0.712 0.212
Pt2 Pt 0.000 0.000 0.000
```

The value obtained for the energy of formation is -0.262 eV per atom. Its density of states at the Fermi level is 0.3185 states/eV/atom. The space-group type is No. 122.


Entry 6:
This record from Alexandria describes an optimized crystal structure of YIn2Co2. The functional is PBEsol.

Structure (CIF):
```
data_YIn2Co2
_chemical_formula_sum 'Y1 In2 Co2'
_symmetry_space_group_name_H-M 'P 1'
_symmetry_Int_Tables_number 1
_symmetry_space_group_name_Hall 'P 1'
_cell_length_a 4.194
_cell_length_b 4.194
_cell_length_c 5.981
_cell_angle_alpha 110.53
_cell_angle_beta 110.53
_cell_angle_gamma 90.00
loop_
_atom_site_label
_atom_site_type_symbol
_atom_site_fract_x
_atom_site_fract_y
_atom_site_fract_z
In1 In 0.250 0.750 0.500
Y1 Y 0.000 0.000 0.000
Co1 Co 0.399 0.399 0.799
In2 In 0.750 0.250 0.500
Co2 Co 0.601 0.601 0.201
```

The value obtained for the energy of formation is -0.126 eV per atom. Its density of states at the Fermi level is 0.8151 states/eV/atom. The space-group type is No. 139.


Entry 7:
This record from Alexandria describes an optimized crystal structure of CaAl4In. The functional is PBEsol.

Structure (CIF):
```
data_CaAl4In
_chemical_formula_sum 'Ca1 Al4 In1'
_symmetry_space_group_name_H-M 'P 1'
_symmetry_Int_Tables_number 1
_symmetry_space_group_name_Hall 'P 1'
_cell_length_a 5.572
_cell_length_b 5.572
_cell_length_c 5.572
_cell_angle_alpha 60.00
_cell_angle_beta 60.00
_cell_angle_gamma 60.00
loop_
_atom_site_label
_atom_site_type_symbol
_atom_site_fract_x
_atom_site_fract_y
_atom_site_fract_z
Al1 Al 0.875 0.375 0.375
In1 In 0.000 0.000 0.000
Al2 Al 0.375 0.875 0.375
Al3 Al 0.375 0.375 0.375
Al4 Al 0.375 0.375 0.875
Ca1 Ca 0.750 0.750 0.750
```

The value obtained for the energy of formation is -0.103 eV per atom. Its density of states at the Fermi level is 0.5002 states/eV/atom. The space-group type is No. 216.


Entry 8:
This record from Alexandria describes an optimized crystal structure of AlIn2CoB. The functional is PBEsol.

Structure (CIF):
```
data_AlIn2CoB
_chemical_formula_sum 'Al1 In2 Co1 B1'
_symmetry_space_group_name_H-M 'P 1'
_symmetry_Int_Tables_number 1
_symmetry_space_group_name_Hall 'P 1'
_cell_length_a 4.413
_cell_length_b 4.781
_cell_length_c 4.781
_cell_angle_alpha 90.00
_cell_angle_beta 90.00
_cell_angle_gamma 90.00
loop_
_atom_site_label
_atom_site_type_symbol
_atom_site_fract_x
_atom_site_fract_y
_atom_site_fract_z
Co1 Co 0.000 0.000 0.000
B1 B 0.500 0.500 0.500
Al1 Al 0.500 0.000 0.000
In1 In 0.000 0.500 0.000
In2 In 0.000 0.000 0.500
```

The value obtained for the energy of formation is 0.879 eV per atom. Its density of states at the Fermi level is 0.5295 states/eV/atom. The space-group type is No. 123.


Entry 9:
This record from Alexandria describes an optimized crystal structure of CuReOs. The functional is PBEsol.

Structure (CIF):
```
data_CuReOs
_chemical_formula_sum 'Cu1 Re1 Os1'
_symmetry_space_group_name_H-M 'P 1'
_symmetry_Int_Tables_number 1
_symmetry_space_group_name_Hall 'P 1'
_cell_length_a 4.085
_cell_length_b 4.085
_cell_length_c 4.085
_cell_angle_alpha 60.00
_cell_angle_beta 60.00
_cell_angle_gamma 60.00
loop_
_atom_site_label
_atom_site_type_symbol
_atom_site_fract_x
_atom_site_fract_y
_atom_site_fract_z
Cu1 Cu 0.000 0.000 0.000
Re1 Re 0.250 0.250 0.250
Os1 Os 0.500 0.500 0.500
```

The value obtained for the energy of formation is 0.812 eV per atom. Its density of states at the Fermi level is 1.0405 states/eV/atom. The space-group type is No. 216. The value obtained for the energy above the most stable polymorph in this dataset is 0.00 kcal/mol of atoms.


Entry 10:
This record from Alexandria describes an optimized crystal structure of Li4Cr5O10. The functional is PBEsol.

Structure (CIF):
```
data_Li4Cr5O10
_chemical_formula_sum 'Li8 Cr10 O20'
_symmetry_space_group_name_H-M 'P 1'
_symmetry_Int_Tables_number 1
_symmetry_space_group_name_Hall 'P 1'
_cell_length_a 6.487
_cell_length_b 6.487
_cell_length_c 8.700
_cell_angle_alpha 85.74
_cell_angle_beta 81.29
_cell_angle_gamma 72.46
loop_
_atom_site_label
_atom_site_type_symbol
_atom_site_fract_x
_atom_site_fract_y
_atom_site_fract_z
Li1 Li 0.354 0.192 0.953
Li2 Li 0.542 0.612 0.347
O1 O 0.784 0.320 0.680
O2 O 0.284 0.320 0.180
O3 O 0.386 0.511 0.881
O4 O 0.013 0.289 0.921
O5 O 0.716 0.680 0.820
O6 O 0.094 0.910 0.783
O7 O 0.487 0.712 0.579
Li3 Li 0.458 0.388 0.653
Cr1 Cr 0.500 0.000 0.500
O8 O 0.183 0.112 0.488
Cr2 Cr 0.000 0.000 0.000
O9 O 0.906 0.090 0.217
Cr3 Cr 0.595 0.198 0.201
Li4 Li 0.855 0.192 0.453
O10 O 0.886 0.511 0.381
Li5 Li 0.958 0.387 0.153
O11 O 0.987 0.711 0.079
Cr4 Cr 0.095 0.199 0.701
O12 O 0.114 0.489 0.619
Cr5 Cr 0.301 0.605 0.101
Li6 Li 0.042 0.613 0.847
O13 O 0.594 0.910 0.283
O14 O 0.406 0.090 0.717
Li7 Li 0.145 0.808 0.547
Cr6 Cr 0.699 0.395 0.899
Cr7 Cr 0.199 0.395 0.399
O15 O 0.317 0.888 0.012
Cr8 Cr 0.801 0.605 0.601
O16 O 0.817 0.888 0.512
O17 O 0.683 0.112 0.988
O18 O 0.513 0.288 0.421
O19 O 0.216 0.680 0.320
Li8 Li 0.646 0.808 0.047
Cr9 Cr 0.905 0.801 0.299
O20 O 0.614 0.489 0.119
Cr10 Cr 0.405 0.802 0.799
```

Its density of states at the Fermi level is 0.7059 states/eV/atom. The space-group type is No. 2. The value obtained for the formation energy without anion corrections is -2.02 eV per atom.


Entry 11:
This record from Alexandria describes an optimized crystal structure of Bi2As2I. The functional is PBEsol.

Structure (CIF):
```
data_Bi2As2I
_chemical_formula_sum 'Bi2 As2 I1'
_symmetry_space_group_name_H-M 'P 1'
_symmetry_Int_Tables_number 1
_symmetry_space_group_name_Hall 'P 1'
_cell_length_a 5.491
_cell_length_b 6.093
_cell_length_c 5.491
_cell_angle_alpha 63.22
_cell_angle_beta 90.00
_cell_angle_gamma 116.78
loop_
_atom_site_label
_atom_site_type_symbol
_atom_site_fract_x
_atom_site_fract_y
_atom_site_fract_z
Bi1 Bi 0.250 0.500 0.250
Bi2 Bi 0.750 0.500 0.750
As1 As 0.631 0.262 0.369
As2 As 0.369 0.738 0.631
I1 I 0.000 0.000 0.000
```

Its density of states at the Fermi level is 0.5105 states/eV/atom. The space-group type is No. 139. The value obtained for the formation energy without anion corrections is 0.00 eV per atom. The value obtained for the energy above the most stable polymorph in this dataset is 0.52 kcal/mol of atoms.


Entry 12:
This record from Alexandria describes an optimized crystal structure of Ba2ZnSb. The functional is PBEsol.

Structure (CIF):
```
data_Ba2ZnSb
_chemical_formula_sum 'Ba2 Zn1 Sb1'
_symmetry_space_group_name_H-M 'P 1'
_symmetry_Int_Tables_number 1
_symmetry_space_group_name_Hall 'P 1'
_cell_length_a 4.686
_cell_length_b 4.892
_cell_length_c 6.735
_cell_angle_alpha 111.30
_cell_angle_beta 90.00
_cell_angle_gamma 90.00
loop_
_atom_site_label
_atom_site_type_symbol
_atom_site_fract_x
_atom_site_fract_y
_atom_site_fract_z
Sb1 Sb 0.375 0.556 0.112
Ba1 Ba 0.375 0.263 0.526
Zn1 Zn 0.875 0.698 0.395
Ba2 Ba 0.875 0.983 0.967
```

Its density of states at the Fermi level is 0.8373 states/eV/atom. The space-group type is No. 38. The value obtained for the formation energy without anion corrections is -0.63 eV per atom. The value obtained for the energy above the most stable polymorph in this dataset is 0.00 kcal/mol of atoms.


Number 1: electronic total energy -49.1 eV for the cell shown. Number 2: electronic total energy -26.5 eV for the cell shown. Number 3: electronic total energy -31.9 eV for the cell shown. Number 4: electronic total energy -30.0 eV for the cell shown. Number 5: electronic total energy -30.3 eV for the cell shown. Number 6: electronic total energy -28.9 eV for the cell shown. Number 7: electronic total energy -22.1 eV for the cell shown. Number 8: electronic total energy -20.4 eV for the cell shown. Number 9: electronic total energy -27.4 eV for the cell shown. Number 10: electronic total energy -299.8 eV for the cell shown. Number 11: electronic total energy -20.6 eV for the cell shown. Number 12: electronic total energy -12.9 eV for the cell shown.